(1)
La2TaCr | GGA-PBE | relaxed

It has space group Immm (No. 71), with a = 3.278 Å, b = 3.971 Å, c = 16.608 Å, α = 90.00°, β = 90.00° and γ = 90.00°. The distinct sites, in fractional coordinates, are La at (0.000, 0.000, 0.153), Ta at (0.000, 0.500, 0.000) and Cr at (0.000, 0.500, 0.500).

The density of states at the Fermi level comes out at 1.514 states/eV/atom. The energy of formation from the pure elements comes out at 0.538 eV per atom. The relative energy among the computed polymorphs is 0.77 eV per formula unit.

(2)
La2TaCr | GGA-PBE | relaxed

It has space group C2/m (No. 12), with a = 6.402 Å, b = 10.241 Å, c = 3.196 Å, α = 90.00°, β = 113.59° and γ = 90.00°. The distinct sites, in fractional coordinates, are La at (0.250, 0.250, 0.000), Ta at (0.000, 0.000, 0.500) and Cr at (0.000, 0.500, 0.500).

The density of states at the Fermi level comes out at 1.241 states/eV/atom. The energy of formation from the pure elements comes out at 0.751 eV per atom. The relative energy among the computed polymorphs is 1.62 eV per formula unit.

(3)
LaTaCr | GGA-PBE | relaxed

It has space group F-43m (No. 216), with a = 6.432 Å, b = 6.432 Å, c = 6.432 Å, α = 90.00°, β = 90.00° and γ = 90.00°. The distinct sites, in fractional coordinates, are La at (0.000, 0.000, 0.000), Ta at (0.000, 0.000, 0.500) and Cr at (0.250, 0.250, 0.750).

The density of states at the Fermi level comes out at 0.975 states/eV/atom. The energy of formation from the pure elements comes out at 0.828 eV per atom. The relative energy among the computed polymorphs is 1.12 eV per formula unit.

(4)
LaTa2Cr | GGA-PBE | relaxed

It has space group Pm (No. 6), with a = 3.075 Å, b = 4.192 Å, c = 6.730 Å, α = 90.00°, β = 99.00° and γ = 90.00°. The distinct sites, in fractional coordinates, are La at (0.000, 0.000, 0.000), Ta at (0.202, 0.000, 0.544), Ta at (0.689, 0.500, 0.349) and Cr at (0.581, 0.500, 0.693).

The density of states at the Fermi level comes out at 1.196 states/eV/atom. The energy of formation from the pure elements comes out at 0.484 eV per atom. The relative energy among the computed polymorphs is 0.74 eV per formula unit.